Entry 1:
A plane-wave DFT calculation with PBE was carried out for crystalline Tb5NdSm at its relaxed geometry. Values from VASP.

DOS at the Fermi energy ... 1.54 states/eV/atom
Energy ... -3.600 eV per atom
Excess energy over the best structure of this formula in the dataset ... 878 meV/atom
Spin magnetization ... 0.001 μB/f.u.
SG ... Immm (71)
Calculated volume ... 594.38 Å³ per cell
E_form ... 1063 meV/atom

```
&SYSTEM
  ibrav = 0, nat = 14, ntyp = 3
/
ATOMIC_SPECIES
Tb 158.93 Tb.upf
Nd 144.24 Nd.upf
Sm 150.36 Sm.upf
CELL_PARAMETERS angstrom
5.784 0.000 0.000
0.000 8.678 0.000
0.000 0.000 11.842
ATOMIC_POSITIONS angstrom
Tb 0.000 0.000 0.000
Tb 0.000 1.561 5.921
Tb 0.000 4.339 2.985
Tb 0.000 4.339 8.856
Tb 0.000 7.118 5.921
Tb 2.892 0.000 2.935
Tb 2.892 0.000 8.906
Tb 2.892 2.778 0.000
Tb 2.892 4.339 5.921
Tb 2.892 5.900 0.000
Nd 0.000 4.339 0.000
Nd 2.892 0.000 5.921
Sm 0.000 4.339 5.921
Sm 2.892 0.000 0.000
```


Entry 2:
A plane-wave DFT calculation with PBE was carried out for crystalline Tb12Nd2Sm5 at its relaxed geometry. Values from VASP.

DOS at the Fermi energy ... 1.40 states/eV/atom
Energy ... -4.539 eV per atom
Excess energy over the best structure of this formula in the dataset ... 34 meV/atom
Spin magnetization ... 0.000 μB/f.u.
SG ... C2/m (12)
Calculated volume ... 636.31 Å³ per cell
E_form ... 129 meV/atom

```
&SYSTEM
  ibrav = 0, nat = 19, ntyp = 3
/
ATOMIC_SPECIES
Tb 158.93 Tb.upf
Nd 144.24 Nd.upf
Sm 150.36 Sm.upf
CELL_PARAMETERS angstrom
7.846 -4.662 0.000
7.846 4.662 0.000
-0.336 0.000 8.698
ATOMIC_POSITIONS angstrom
Tb 0.791 0.000 2.941
Tb 5.695 2.879 2.892
Tb 5.254 1.668 6.600
Tb 9.662 2.879 5.807
Tb 6.626 0.000 1.088
Tb 10.103 1.668 2.098
Tb 5.254 -1.668 6.600
Tb 8.731 0.000 7.610
Tb 5.695 -2.879 2.892
Tb 10.103 -1.668 2.098
Tb 9.662 -2.879 5.807
Tb 14.566 0.000 5.758
Nd 7.846 3.038 0.000
Nd 7.846 -3.038 0.000
Sm 3.245 0.000 0.205
Sm 4.085 0.000 3.725
Sm 7.679 0.000 4.349
Sm 11.272 0.000 4.974
Sm 12.112 0.000 8.494
```


Entry 3:
A plane-wave DFT calculation with PBE was carried out for crystalline Tb7NdSm3 at its relaxed geometry. Values from VASP.

DOS at the Fermi energy ... 1.50 states/eV/atom
Energy ... -4.529 eV per atom
Excess energy over the best structure of this formula in the dataset ... 0 meV/atom
Spin magnetization ... 0.000 μB/f.u.
SG ... P2/m (10)
Calculated volume ... 368.04 Å³ per cell
E_form ... 138 meV/atom

```
&SYSTEM
  ibrav = 0, nat = 11, ntyp = 3
/
ATOMIC_SPECIES
Tb 158.93 Tb.upf
Nd 144.24 Nd.upf
Sm 150.36 Sm.upf
CELL_PARAMETERS angstrom
6.999 0.000 0.000
0.000 5.582 0.000
-3.448 0.000 9.421
ATOMIC_POSITIONS angstrom
Tb 0.000 0.000 0.000
Tb 0.021 2.791 2.722
Tb 0.041 2.791 6.029
Tb 0.063 0.000 7.821
Tb 3.488 0.000 1.600
Tb 3.510 2.791 3.392
Tb 3.530 2.791 6.698
Nd -1.724 0.000 4.710
Sm -1.476 2.791 9.412
Sm 1.776 0.000 4.710
Sm 5.027 2.791 0.008
```


Entry 4:
A plane-wave DFT calculation with PBE was carried out for crystalline Tb8Nd6Sm at its relaxed geometry. Values from VASP.

DOS at the Fermi energy ... 1.42 states/eV/atom
Energy ... -4.571 eV per atom
Excess energy over the best structure of this formula in the dataset ... 0 meV/atom
Spin magnetization ... 0.000 μB/f.u.
SG ... R-3 (148)
Calculated volume ... 508.21 Å³ per cell
E_form ... 120 meV/atom

```
&SYSTEM
  ibrav = 0, nat = 15, ntyp = 3
/
ATOMIC_SPECIES
Tb 158.93 Tb.upf
Nd 144.24 Nd.upf
Sm 150.36 Sm.upf
CELL_PARAMETERS angstrom
4.586 2.648 6.976
-4.586 2.648 6.976
0.000 -5.295 6.976
ATOMIC_POSITIONS angstrom
Tb 0.000 0.000 1.605
Tb -1.810 0.883 7.518
Tb 0.140 -2.009 7.518
Tb -1.670 -1.126 13.410
Tb 1.670 1.126 7.518
Tb -0.140 2.009 13.410
Tb 1.810 -0.883 13.410
Tb 0.000 0.000 19.323
Nd -2.591 -2.173 9.566
Nd -3.177 1.158 11.361
Nd 0.586 -3.331 11.361
Nd -0.586 3.331 9.566
Nd 3.177 -1.158 9.566
Nd 2.591 2.173 11.361
Sm 0.000 0.000 10.464
```


Entry 5:
A plane-wave DFT calculation with PBE was carried out for crystalline TbNd6Sm3 at its relaxed geometry. Values from VASP.

DOS at the Fermi energy ... 1.98 states/eV/atom
Energy ... -4.510 eV per atom
Excess energy over the best structure of this formula in the dataset ... 94 meV/atom
Spin magnetization ... 0.000 μB/f.u.
SG ... R3 (146)
Calculated volume ... 349.79 Å³ per cell
E_form ... 230 meV/atom

```
&SYSTEM
  ibrav = 0, nat = 10, ntyp = 3
/
ATOMIC_SPECIES
Tb 158.93 Tb.upf
Nd 144.24 Nd.upf
Sm 150.36 Sm.upf
CELL_PARAMETERS angstrom
5.026 2.902 3.997
-5.026 2.902 3.997
0.000 -5.804 3.997
ATOMIC_POSITIONS angstrom
Tb 0.000 0.000 0.000
Nd -3.390 -0.051 4.996
Nd -1.653 -2.963 6.983
Nd 1.739 -2.911 4.996
Nd -1.740 2.913 6.983
Nd 1.651 2.961 4.996
Nd 3.393 0.050 6.983
Sm 0.000 0.000 2.997
Sm 0.000 0.000 5.994
Sm 0.000 0.000 8.990
```


Entry 6:
A plane-wave DFT calculation with PBE was carried out for crystalline TbNd12Sm6 at its relaxed geometry. Values from VASP.

DOS at the Fermi energy ... 1.60 states/eV/atom
Energy ... -4.616 eV per atom
Excess energy over the best structure of this formula in the dataset ... 0 meV/atom
Spin magnetization ... 0.000 μB/f.u.
SG ... R-3 (148)
Calculated volume ... 668.66 Å³ per cell
E_form ... 129 meV/atom

```
&SYSTEM
  ibrav = 0, nat = 19, ntyp = 3
/
ATOMIC_SPECIES
Tb 158.93 Tb.upf
Nd 144.24 Nd.upf
Sm 150.36 Sm.upf
CELL_PARAMETERS angstrom
6.137 3.543 5.125
-6.137 3.543 5.125
0.000 -7.087 5.125
ATOMIC_POSITIONS angstrom
Tb 0.000 0.000 0.000
Nd -2.105 -0.034 2.931
Nd 1.082 -1.806 2.931
Nd -2.121 -0.504 6.404
Nd 1.023 1.840 2.931
Nd -0.625 -2.089 8.969
Nd 1.497 -1.585 6.404
Nd -1.497 1.585 8.969
Nd 0.625 2.089 6.404
Nd -1.023 -1.840 12.442
Nd 2.121 0.504 8.969
Nd -1.082 1.806 12.442
Nd 2.105 0.034 12.442
Sm -1.012 -3.695 5.419
Sm -2.693 2.724 5.419
Sm -3.706 -0.971 9.955
Sm 3.706 0.970 5.419
Sm 2.693 -2.724 9.955
Sm 1.013 3.695 9.955
```


Entry 7:
A plane-wave DFT calculation with PBE was carried out for crystalline Tb5Nd2Sm5 at its relaxed geometry. Values from VASP.

DOS at the Fermi energy ... 1.45 states/eV/atom
Energy ... -4.675 eV per atom
Spin magnetization ... 0.000 μB/f.u.
SG ... C2/m (12)
Calculated volume ... 398.76 Å³ per cell
E_form ... 15 meV/atom

```
&SYSTEM
  ibrav = 0, nat = 12, ntyp = 3
/
ATOMIC_SPECIES
Tb 158.93 Tb.upf
Nd 144.24 Nd.upf
Sm 150.36 Sm.upf
CELL_PARAMETERS angstrom
7.658 -2.549 0.000
7.658 2.549 0.000
-5.109 0.000 10.213
ATOMIC_POSITIONS angstrom
Tb 0.000 0.000 0.000
Tb -2.552 0.000 7.656
Tb -0.002 0.000 5.112
Tb 10.209 0.000 5.101
Tb 12.759 0.000 2.557
Nd 2.556 0.000 7.655
Nd 7.651 0.000 2.558
Sm 2.562 0.000 2.567
Sm 5.107 0.000 0.004
Sm 5.103 0.000 5.107
Sm 5.100 0.000 10.209
Sm 7.645 0.000 7.646
```


Entry 8:
A plane-wave DFT calculation with PBE was carried out for crystalline TbNd3Sm3 at its relaxed geometry. Values from VASP.

DOS at the Fermi energy ... 1.54 states/eV/atom
Energy ... -4.502 eV per atom
Excess energy over the best structure of this formula in the dataset ... 0 meV/atom
Spin magnetization ... 0.000 μB/f.u.
SG ... R-3 (148)
Calculated volume ... 494.56 Å³ per cell
E_form ... 225 meV/atom

```
&SYSTEM
  ibrav = 0, nat = 14, ntyp = 3
/
ATOMIC_SPECIES
Tb 158.93 Tb.upf
Nd 144.24 Nd.upf
Sm 150.36 Sm.upf
CELL_PARAMETERS angstrom
4.398 2.539 7.381
-4.398 2.539 7.381
0.000 -5.078 7.381
ATOMIC_POSITIONS angstrom
Tb 0.000 0.000 3.387
Tb 0.000 0.000 18.757
Nd -1.024 -1.825 9.775
Nd -2.092 -0.025 12.368
Nd -1.068 1.799 9.775
Nd 1.068 -1.799 12.368
Nd 2.092 0.025 9.775
Nd 1.024 1.825 12.368
Sm -0.677 -2.145 6.328
Sm -1.519 1.658 6.328
Sm -2.196 -0.486 15.815
Sm 2.196 0.486 6.328
Sm 1.519 -1.658 15.815
Sm 0.677 2.145 15.815
```